[1]
# PtSeSCl2

A relaxed PtSeSCl2 crystal (PBE, Alexandria).

Results
* excess energy over the best structure of this formula in the dataset: 0.000 eV per formula unit
* uncorrected formation energy: 0.4203 eV/atom
* spin magnetization: 1.19 μB per formula unit

Geometry as CIF:
```
data_PtSeSCl2
_chemical_formula_sum 'Pt1 Se1 S1 Cl2'
_cell_length_a 4.8639
_cell_length_b 4.8639
_cell_length_c 4.7192
_cell_angle_alpha 90.00
_cell_angle_beta 90.00
_cell_angle_gamma 90.00
_symmetry_space_group_name_H-M 'P 4/m m m'
_symmetry_Int_Tables_number 123
_symmetry_space_group_name_Hall '-P 4 2'
loop_
_atom_site_label
_atom_site_type_symbol
_atom_site_fract_x
_atom_site_fract_y
_atom_site_fract_z
Pt1 Pt 0.0000 0.0000 0.0000
Se1 Se 0.5000 0.5000 0.5000
S1 S 0.0000 0.0000 0.5000
Cl1 Cl 0.0000 0.5000 0.0000
```



[2]
# PtSeSCl2

A relaxed PtSeSCl2 crystal (PBE, Alexandria).

Results
* excess energy over the best structure of this formula in the dataset: 2.340 eV per formula unit
* uncorrected formation energy: 0.8883 eV/atom
* spin magnetization: 0.93 μB per formula unit

Geometry as CIF:
```
data_PtSeSCl2
_chemical_formula_sum 'Pt1 Se1 S1 Cl2'
_cell_length_a 4.7656
_cell_length_b 4.7656
_cell_length_c 5.1169
_cell_angle_alpha 90.00
_cell_angle_beta 90.00
_cell_angle_gamma 90.00
_symmetry_space_group_name_H-M 'P 4/m m m'
_symmetry_Int_Tables_number 123
_symmetry_space_group_name_Hall '-P 4 2'
loop_
_atom_site_label
_atom_site_type_symbol
_atom_site_fract_x
_atom_site_fract_y
_atom_site_fract_z
Pt1 Pt 0.0000 0.0000 0.0000
Se1 Se 0.5000 0.5000 0.5000
S1 S 0.5000 0.5000 0.0000
Cl1 Cl 0.0000 0.5000 0.5000
```



[3]
# SiPtSCl2

A relaxed SiPtSCl2 crystal (PBE, Alexandria).

Results
* excess energy over the best structure of this formula in the dataset: 0.000 eV per formula unit
* uncorrected formation energy: 0.3858 eV/atom
* spin magnetization: 0.00 μB per formula unit

Geometry as CIF:
```
data_SiPtSCl2
_chemical_formula_sum 'Si1 Pt1 S1 Cl2'
_cell_length_a 4.8052
_cell_length_b 4.8052
_cell_length_c 4.7972
_cell_angle_alpha 90.00
_cell_angle_beta 90.00
_cell_angle_gamma 90.00
_symmetry_space_group_name_H-M 'P 4/m m m'
_symmetry_Int_Tables_number 123
_symmetry_space_group_name_Hall '-P 4 2'
loop_
_atom_site_label
_atom_site_type_symbol
_atom_site_fract_x
_atom_site_fract_y
_atom_site_fract_z
Si1 Si 0.0000 0.0000 0.0000
Pt1 Pt 0.5000 0.5000 0.5000
S1 S 0.5000 0.5000 0.0000
Cl1 Cl 0.0000 0.5000 0.5000
```



[4]
# SiPtSCl2

A relaxed SiPtSCl2 crystal (PBE, Alexandria).

Results
* excess energy over the best structure of this formula in the dataset: 0.514 eV per formula unit
* uncorrected formation energy: 0.4886 eV/atom
* spin magnetization: 0.33 μB per formula unit

Geometry as CIF:
```
data_SiPtSCl2
_chemical_formula_sum 'Si1 Pt1 S1 Cl2'
_cell_length_a 4.4576
_cell_length_b 4.4576
_cell_length_c 4.9243
_cell_angle_alpha 90.00
_cell_angle_beta 90.00
_cell_angle_gamma 90.00
_symmetry_space_group_name_H-M 'P 4/m m m'
_symmetry_Int_Tables_number 123
_symmetry_space_group_name_Hall '-P 4 2'
loop_
_atom_site_label
_atom_site_type_symbol
_atom_site_fract_x
_atom_site_fract_y
_atom_site_fract_z
Si1 Si 0.0000 0.0000 0.0000
Pt1 Pt 0.5000 0.5000 0.5000
S1 S 0.0000 0.0000 0.5000
Cl1 Cl 0.0000 0.5000 0.0000
```



[5]
# Sm4PtS2Cl

A relaxed Sm4PtS2Cl crystal (PBE, Alexandria).

Results
* uncorrected formation energy: -1.6428 eV/atom
* spin magnetization: 0.00 μB per formula unit

Geometry as CIF:
```
data_Sm4PtS2Cl
_chemical_formula_sum 'Sm4 Pt1 S2 Cl1'
_cell_length_a 7.0941
_cell_length_b 3.9500
_cell_length_c 7.2151
_cell_angle_alpha 90.00
_cell_angle_beta 108.43
_cell_angle_gamma 90.00
_symmetry_space_group_name_H-M 'P 1 2/m 1'
_symmetry_Int_Tables_number 10
_symmetry_space_group_name_Hall '-P 2y'
loop_
_atom_site_label
_atom_site_type_symbol
_atom_site_fract_x
_atom_site_fract_y
_atom_site_fract_z
Sm1 Sm 0.2354 0.0000 0.2302
Sm2 Sm 0.2410 0.5000 0.7518
Pt1 Pt 0.0000 0.0000 0.5000
S1 S 0.0000 0.5000 0.0000
S2 S 0.5000 0.0000 0.0000
Cl1 Cl 0.5000 0.5000 0.5000
```



[6]
# SrPtSCl2

A relaxed SrPtSCl2 crystal (PBE, Alexandria).

Results
* excess energy over the best structure of this formula in the dataset: 5.115 eV per formula unit
* uncorrected formation energy: 0.0277 eV/atom
* spin magnetization: 2.05 μB per formula unit

Geometry as CIF:
```
data_SrPtSCl2
_chemical_formula_sum 'Sr1 Pt1 S1 Cl2'
_cell_length_a 5.4469
_cell_length_b 5.4469
_cell_length_c 5.9411
_cell_angle_alpha 90.00
_cell_angle_beta 90.00
_cell_angle_gamma 90.00
_symmetry_space_group_name_H-M 'P 4/m m m'
_symmetry_Int_Tables_number 123
_symmetry_space_group_name_Hall '-P 4 2'
loop_
_atom_site_label
_atom_site_type_symbol
_atom_site_fract_x
_atom_site_fract_y
_atom_site_fract_z
Sr1 Sr 0.0000 0.0000 0.0000
Pt1 Pt 0.5000 0.5000 0.5000
S1 S 0.0000 0.0000 0.5000
Cl1 Cl 0.0000 0.5000 0.0000
```